(1)
A plane-wave DFT calculation with GGA-PBE was carried out for a relaxed Ti2Fe2Re crystal.

The structure in POSCAR format:
```
Ti2Fe2Re
1.0
6.054 0.000 0.000
0.000 6.054 0.000
0.000 0.000 3.906
Ti Fe Re
4 4 2
direct
0.182 0.318 0.000
0.318 0.818 0.000
0.682 0.182 0.000
0.818 0.682 0.000
0.129 0.629 0.500
0.371 0.129 0.500
0.629 0.871 0.500
0.871 0.371 0.500
0.000 0.000 0.500
0.500 0.500 0.500
```

Calculated values
Total energy, eV per atom: -9.0889
ΔH_f (0 K), kJ/mol of atoms: -5.4
DOS(E_F), states/eV per cell: 12.60

(2)
A plane-wave DFT calculation with GGA-PBE was carried out for a relaxed Mg2SiMo crystal.

The structure in POSCAR format:
```
Mg2SiMo
1.0
2.841 0.000 0.000
0.000 2.841 0.000
0.000 0.000 8.679
Mg Si Mo
2 1 1
direct
0.000 0.000 0.000
0.500 0.500 0.296
0.500 0.500 0.755
0.000 0.000 0.551
```

Calculated values
E_form (uncorrected), eV per atom: 0.188
Total energy, eV per atom: -4.6728
DOS(E_F), states/eV per cell: 3.45

(3)
A plane-wave DFT calculation with GGA-PBE was carried out for a relaxed Cs4Rb7Tl crystal.

The structure in POSCAR format:
```
Cs4Rb7Tl
1.0
8.219 -3.718 0.000
8.219 3.718 0.000
-4.748 0.000 17.706
Cs Rb Tl
4 7 1
direct
0.053 0.053 0.309
0.334 0.334 0.231
0.666 0.666 0.769
0.947 0.947 0.691
0.134 0.134 0.962
0.234 0.234 0.589
0.398 0.398 0.874
0.500 0.500 0.500
0.602 0.602 0.126
0.766 0.766 0.411
0.866 0.866 0.038
0.000 0.000 0.500
```

Calculated values
Total energy, eV per atom: -1.0347
ΔH_f (0 K), kJ/mol of atoms: 1.1
DOS(E_F), states/eV per cell: 10.66